Record 1
Cs2VPF6 | the Alexandria database | GGA+U | relaxed; crystal system = tetragonal
1.0
5.850 0.000 0.000
0.000 5.850 0.000
2.925 2.925 5.642
Cs P F V
2 1 6 1
direct
0.750 0.250 0.500
0.250 0.750 0.500
0.500 0.500 0.000
0.184 0.184 0.632
0.816 0.816 0.368
0.264 0.264 0.000
0.736 0.736 0.000
0.736 0.264 0.000
0.264 0.736 0.000
0.000 0.000 0.000



Record 2
Cs2PWF6 | the Alexandria database | GGA+U | relaxed; crystal system = tetragonal
1.0
-3.753 0.154 -4.640
0.429 -5.930 -0.545
-6.229 -3.556 1.079
Cs P W F
2 1 1 6
direct
0.750 0.250 0.500
0.250 0.750 0.500
0.500 0.500 0.000
0.000 0.000 0.000
0.178 0.178 0.644
0.822 0.822 0.356
0.252 0.252 0.000
0.748 0.748 0.000
0.748 0.252 0.000
0.252 0.748 0.000



| no. | total energy (eV/atom) |
| --- | --- |
| 1 | -4.895 |
| 2 | -4.729 |